Sr2Ac4Bi3O2 | PBE | optimized geometry

Output
SG = I4/mmm (139)
formation energy from raw total energies = -1511 meV per atom
total moment = 0.0 μB per formula unit

abc: 14.174 14.174 14.174
angles: 159.05 159.05 29.80
Sites, in units of the cell vectors:
Sr 0.196 0.196 0.000
Sr 0.804 0.804 0.000
Ac 0.084 0.584 0.500
Ac 0.416 0.916 0.500
Ac 0.584 0.084 0.500
Ac 0.916 0.416 0.500
Bi 0.323 0.323 0.000
Bi 0.500 0.500 0.000
Bi 0.677 0.677 0.000
O 0.102 0.102 0.000
O 0.898 0.898 0.000

***

Sr4Ac2Bi3O2 | PBE | optimized geometry

Output
SG = I4/mmm (139)
formation energy from raw total energies = -1600 meV per atom
total moment = 0.0 μB per formula unit

abc: 14.189 14.189 14.189
angles: 159.40 159.40 29.29
Sites, in units of the cell vectors:
Sr 0.083 0.583 0.500
Sr 0.417 0.917 0.500
Sr 0.583 0.083 0.500
Sr 0.917 0.417 0.500
Ac 0.193 0.193 0.000
Ac 0.807 0.807 0.000
Bi 0.323 0.323 0.000
Bi 0.500 0.500 0.000
Bi 0.677 0.677 0.000
O 0.105 0.105 0.000
O 0.895 0.895 0.000

***

SrAcBiO | PBE | optimized geometry

Output
SG = P4/nmm (129)
formation energy from raw total energies = -1944 meV per atom
total moment = 0.0 μB per formula unit

abc: 4.916 4.916 9.801
angles: 90.00 90.00 90.00
Sites, in units of the cell vectors:
Sr 0.250 0.750 0.000
Sr 0.750 0.250 0.000
Ac 0.250 0.250 0.325
Ac 0.750 0.750 0.675
Bi 0.250 0.250 0.699
Bi 0.750 0.750 0.301
O 0.250 0.250 0.086
O 0.750 0.750 0.914

***

Ac2TaBiO8 | PBE | optimized geometry

Output
SG = C2/m (12)
formation energy from raw total energies = -2387 meV per atom
total moment = 0.0 μB per formula unit

abc: 5.293 5.293 7.040
angles: 90.83 90.83 92.52
Sites, in units of the cell vectors:
Ac 0.040 0.040 0.258
Ac 0.960 0.960 0.742
Ta 0.500 0.500 0.500
Bi 0.500 0.500 0.000
O 0.218 0.218 0.970
O 0.233 0.233 0.534
O 0.301 0.643 0.272
O 0.357 0.699 0.728
O 0.643 0.301 0.272
O 0.699 0.357 0.728
O 0.767 0.767 0.466
O 0.782 0.782 0.030